This record from Alexandria describes an optimized crystal structure of Rb12Ag3S5. The functional is PBE.

a = 20.3716 Å, b = 20.3716 Å, c = 20.3716 Å
α = 90.00°, β = 90.00°, γ = 90.00°
Closest atoms and distances in Å follow each position.
Space group Ia-3d (No. 230)
Symmetry-distinct sites (fractional):
Rb  0.0299  0.0566  0.6459 x96  2 S 3.09-3.25
Ag  0.0000  0.2500  0.1250 x24  8 Rb 3.97-4.01
S  0.0000  0.0000  0.0000 x16  6 Rb 3.25
S  0.0000  0.2500  0.3750 x24  4 Rb 3.09

Values from the calculation:
DOS at the Fermi energy	26.38	states/eV/f.u.
raw formation energy	-0.5166	eV/atom


This record from Alexandria describes an optimized crystal structure of Rb2AgS2. The functional is PBE.

a = 3.8477 Å, b = 3.8477 Å, c = 20.6303 Å
α = 90.00°, β = 90.00°, γ = 90.00°
Closest atoms and distances in Å follow each position.
Space group I4/mmm (No. 139)
Symmetry-distinct sites (fractional):
Rb  0.0000  0.0000  0.1213 x4  4 S 3.28
Ag  0.0000  0.0000  0.5000 x2  8 Rb 3.70, 4 Ag 3.85
S  0.0000  0.5000  0.2500 x4  4 S 2.72

Values from the calculation:
DOS at the Fermi energy	1.31	states/eV/f.u.
raw formation energy	-0.1151	eV/atom
relative energy among the computed polymorphs	514.3	meV/atom


This record from Alexandria describes an optimized crystal structure of RbAg3S2. The functional is PBE.

a = 16.1878 Å, b = 4.3483 Å, c = 8.9727 Å
α = 90.00°, β = 115.04°, γ = 90.00°
Closest atoms and distances in Å follow each position.
Space group C2/m (No. 12)
Symmetry-distinct sites (fractional):
Rb  0.1340  0.0000  0.0397 x4  7 S 3.39-3.71, 2 Ag 3.72
Ag  0.0606  0.0000  0.4031 x4  3 S 2.60-2.66
Ag  0.0983  0.5000  0.6510 x4  3 S 2.55-2.61
Ag  0.1882  0.5000  0.4056 x4  2 S 2.46-2.54
S  0.0179  0.5000  0.2266 x4  4 Ag 2.54-2.60
S  0.1955  0.0000  0.7037 x4  4 Ag 2.46-2.66

Values from the calculation:
DOS at the Fermi energy	0.15	states/eV/f.u.
raw formation energy	-0.3725	eV/atom


This record from Alexandria describes an optimized crystal structure of RbAg2S2. The functional is PBE.

a = 5.0564 Å, b = 5.0564 Å, c = 11.2098 Å
α = 90.00°, β = 90.00°, γ = 90.00°
Closest atoms and distances in Å follow each position.
Space group I4/mmm (No. 139)
Symmetry-distinct sites (fractional):
Rb  0.0000  0.0000  0.0000 x2  2 Ag 3.25
Ag  0.0000  0.0000  0.2902 x4  4 S 2.57
S  0.0000  0.5000  0.2500 x4  4 Ag 2.57

Values from the calculation:
DOS at the Fermi energy	1.13	states/eV/f.u.
raw formation energy	-0.3146	eV/atom
relative energy among the computed polymorphs	50.6	meV/atom


Number 1: total magnetic moment 0.070 μB/atom, mass density 2.37 g/cm³. Number 2: total magnetic moment 0.000 μB/atom, mass density 3.73 g/cm³. Number 3: total magnetic moment 0.000 μB/atom, mass density 5.49 g/cm³. Number 4: total magnetic moment 0.000 μB/atom, mass density 4.23 g/cm³.